[1]
# Tb3Dy6HoTh2

Tb3Dy6HoTh2 after structural relaxation (PBE, Alexandria).

- Magnetization: 0.0000 μB per atom
- Formation enthalpy at 0 K: 26 kJ/mol of formula units
- SG: C2/m (12)

abc: 6.155 6.155 11.762
angles: 95.02 95.02 119.96
Positions (direct):
Tb 0.500 0.500 0.500
Dy 0.254 0.254 0.752
Dy 0.083 0.419 0.247
Tb 0.166 0.834 0.500
Ho 0.000 0.000 0.000
Tb 0.834 0.166 0.500
Dy 0.419 0.083 0.247
Dy 0.917 0.581 0.753
Th 0.333 0.667 0.000
Dy 0.581 0.917 0.753
Dy 0.746 0.746 0.248
Th 0.667 0.333 0.000

---

[2]
# TmThZr2

TmThZr2 after structural relaxation (PBE, Alexandria).

- Magnetization: 0.0003 μB per atom
- Formation enthalpy at 0 K: 44 kJ/mol of formula units
- SG: Cm (8)
- Distance to the lowest polymorph of the same formula: 34 meV per atom

abc: 3.364 3.364 11.114
angles: 81.26 81.26 60.13
Positions (direct):
Zr 0.249 0.249 0.249
Tm 0.669 0.669 0.999
Th 0.501 0.501 0.500
Zr 0.081 0.081 0.752

---

[3]
# Tb6CoPt2

Tb6CoPt2 after structural relaxation (PBE, Alexandria).

- Magnetization: 0.0000 μB per atom
- Formation enthalpy at 0 K: -562 kJ/mol of formula units
- SG: P2_1/c (14)

abc: 6.592 7.268 9.840
angles: 90.00 89.15 90.00
Positions (direct):
Pt 0.948 0.386 0.246
Tb 0.354 0.537 0.250
Pt 0.552 0.886 0.254
Tb 0.329 0.822 0.566
Tb 0.671 0.178 0.434
Tb 0.646 0.463 0.750
Tb 0.675 0.182 0.068
Tb 0.325 0.818 0.932
Tb 0.854 0.963 0.750
Tb 0.171 0.322 0.934
Tb 0.175 0.318 0.568
Co 0.500 0.500 0.000
Pt 0.052 0.614 0.754
Tb 0.825 0.682 0.432
Co 0.000 0.000 0.500
Tb 0.146 0.037 0.250
Tb 0.829 0.678 0.066
Pt 0.448 0.114 0.746

---

[4]
# ZrHg2Au

ZrHg2Au after structural relaxation (PBE, Alexandria).

- Magnetization: 0.0000 μB per atom
- Formation enthalpy at 0 K: -30 kJ/mol of formula units
- SG: P2/m (10)
- Distance to the lowest polymorph of the same formula: 80 meV per atom

abc: 4.822 3.018 5.853
angles: 93.84 90.00 90.00
Positions (direct):
Hg 0.000 0.699 0.005
Hg 0.000 0.801 0.495
Zr 0.500 0.250 0.250
Au 0.500 0.750 0.750

---

[5]
# Cd4InPb3

Cd4InPb3 after structural relaxation (PBE, Alexandria).

- Magnetization: 0.0000 μB per atom
- Formation enthalpy at 0 K: 55 kJ/mol of formula units
- SG: C2/m (12)

abc: 5.592 5.646 8.273
angles: 115.25 109.75 90.00
Positions (direct):
Pb 0.134 0.166 0.267
Cd 0.252 0.795 0.504
Cd 0.748 0.205 0.496
Pb 0.866 0.834 0.733
Cd 0.373 0.390 0.745
Pb 0.000 0.500 0.000
Cd 0.627 0.610 0.255
In 0.500 0.000 0.000

---

[6]
# Cd4Os

Cd4Os after structural relaxation (PBE, Alexandria).

- Magnetization: 0.0000 μB per atom
- Formation enthalpy at 0 K: 189 kJ/mol of formula units
- SG: I4/m (87)

abc: 5.228 5.228 5.228
angles: 99.38 99.38 132.37
Positions (direct):
Cd 0.392 0.790 0.182
Cd 0.608 0.210 0.818
Cd 0.790 0.608 0.398
Os 0.000 0.000 0.000
Cd 0.210 0.392 0.602

---

[7]
# NbTeI2

NbTeI2 after structural relaxation (PBE, Alexandria).

- Magnetization: 0.2520 μB per atom
- SG: I-42d (122)
- Distance to the lowest polymorph of the same formula: 202 meV per atom
- Formation energy (no corrections): -0.3 eV/f.u.

abc: 10.345 10.345 7.800
angles: 48.46 48.46 90.00
Each line ends with the local moment (μB).
Positions (direct):
Te 0.000 0.000 0.000  -0.14
I 0.487 0.125 0.250  -0.04
Te 0.750 0.250 0.500  -0.14
I 0.375 0.513 0.750  -0.03
Nb 0.500 0.500 0.000  1.09
Nb 0.250 0.750 0.500  1.09
I 0.263 0.625 0.250  -0.03
I 0.875 0.737 0.750  -0.03

---

[8]
# Pr4GeRh

Pr4GeRh after structural relaxation (PBE, Alexandria).

- Magnetization: 0.0000 μB per atom
- Formation enthalpy at 0 K: -294 kJ/mol of formula units
- SG: C2/c (15)

abc: 6.303 8.033 8.374
angles: 113.43 105.78 102.58
Positions (direct):
Pr 0.778 0.691 0.626
Pr 0.657 0.353 0.128
Pr 0.652 0.065 0.374
Pr 0.343 0.647 0.872
Ge 0.623 0.373 0.747
Pr 0.970 0.775 0.128
Rh 0.249 0.999 0.998
Rh 0.751 0.001 0.002
Pr 0.348 0.935 0.626
Ge 0.377 0.627 0.253
Pr 0.222 0.309 0.374
Pr 0.030 0.225 0.872

---

[9]
# KRb

KRb after structural relaxation (PBE, Alexandria).

- Magnetization: 0.0000 μB per atom
- Formation enthalpy at 0 K: 9 kJ/mol of formula units
- SG: I4/m (87)
- Distance to the lowest polymorph of the same formula: 43 meV per atom

abc: 17.073 17.073 4.647
angles: 90.00 90.00 90.00
Positions (direct):
Rb 0.666 0.389 0.000
Rb 0.889 0.834 0.500
Rb 0.166 0.889 0.500
K 0.863 0.586 0.000
K 0.086 0.637 0.500
K 0.363 0.086 0.500
Rb 0.834 0.111 0.500
Rb 0.334 0.611 0.000
K 0.586 0.137 0.000
Rb 0.611 0.666 0.000
Rb 0.111 0.166 0.500
K 0.137 0.414 0.000
K 0.637 0.914 0.500
K 0.414 0.863 0.000
K 0.914 0.363 0.500
Rb 0.389 0.334 0.000

---

[10]
# La4AlAg

La4AlAg after structural relaxation (PBE, Alexandria).

- Magnetization: 0.0000 μB per atom
- Formation enthalpy at 0 K: 197 kJ/mol of formula units
- SG: F-43m (216)
- Distance to the lowest polymorph of the same formula: 523 meV per atom

abc: 6.433 6.433 6.433
angles: 60.00 60.00 60.00
Positions (direct):
Ag 0.750 0.750 0.750
La 0.373 0.880 0.373
La 0.373 0.373 0.880
La 0.373 0.373 0.373
Al 0.000 0.000 0.000
La 0.880 0.373 0.373

---

[11]
# ThSc2In

ThSc2In after structural relaxation (PBE, Alexandria).

- Magnetization: 0.0000 μB per atom
- Formation enthalpy at 0 K: -41 kJ/mol of formula units
- SG: R3m (160)
- Distance to the lowest polymorph of the same formula: 140 meV per atom

abc: 3.389 3.389 10.710
angles: 80.90 80.90 60.00
Positions (direct):
Sc 0.256 0.256 0.233
Sc 0.078 0.078 0.767
Th 0.500 0.500 0.499
In 0.666 0.666 0.001

---

[12]
# Y2SiAu

Y2SiAu after structural relaxation (PBE, Alexandria).

- Magnetization: 0.0002 μB per atom
- SG: R3m (160)
- Formation energy (no corrections): -2.2 eV/f.u.

abc: 6.765 6.765 6.765
angles: 37.02 37.02 37.02
Positions (direct):
Au 0.442 0.442 0.442
Y 0.222 0.222 0.222
Y 0.027 0.027 0.027
Si 0.809 0.809 0.809

---

[13]
# SrMn2InI8

SrMn2InI8 after structural relaxation (PBE, Alexandria).

- Magnetization: 0.7500 μB per atom
- SG: P-3 (147)
- Formation energy (no corrections): -7.7 eV/f.u.

abc: 7.562 7.562 10.880
angles: 90.00 90.00 120.00
Each line ends with the local moment (μB).
Positions (direct):
In 0.000 0.000 0.000  0.01
I 0.667 0.333 0.000  -0.02
Mn 0.667 0.333 0.239  4.04
Sr 0.000 0.000 0.500  0.01
I 0.330 0.337 0.305  0.01
I 0.663 0.993 0.305  0.01
I 0.333 0.667 0.000  -0.02
I 0.337 0.007 0.695  0.01
I 0.670 0.663 0.695  0.01
I 0.007 0.670 0.305  0.01
I 0.993 0.330 0.695  0.01
Mn 0.333 0.667 0.761  4.04

---

[14]
# InPbWS2

InPbWS2 after structural relaxation (PBE, Alexandria).

- Magnetization: 0.7015 μB per atom
- SG: P4/mmm (123)
- Formation energy (no corrections): 7.6 eV/f.u.

abc: 4.914 5.821 4.914
angles: 90.00 90.00 90.00
Each line ends with the local moment (μB).
Positions (direct):
In 0.000 0.000 0.000  0.00
S 0.500 0.000 0.000  -0.12
S 0.000 0.000 0.500  -0.12
Pb 0.000 0.500 0.000  -0.07
W 0.500 0.500 0.500  2.98

---

[15]
# CaH3Pt

CaH3Pt after structural relaxation (PBE, Alexandria).

- Magnetization: 0.0000 μB per atom
- SG: P6_3/mmc (194)
- DFT total energy: -4.0180 eV per atom

abc: 3.740 3.740 9.322
angles: 90.00 90.00 120.00
Positions (direct):
H 0.667 0.333 0.072
H 0.667 0.333 0.428
Ca 0.000 0.000 0.500
Pt 0.667 0.333 0.250
H 0.000 0.000 0.750
H 0.000 0.000 0.250
Pt 0.333 0.667 0.750
H 0.333 0.667 0.572
Ca 0.000 0.000 0.000
H 0.333 0.667 0.928

---

[16]
# Ce8Ir3Os2

Ce8Ir3Os2 after structural relaxation (PBE, Alexandria).

- Magnetization: 0.3279 μB per atom
- Formation enthalpy at 0 K: -446 kJ/mol of formula units
- SG: C2/m (12)

abc: 6.669 7.818 8.794
angles: 116.39 117.17 90.00
Each line ends with the local moment (μB).
Positions (direct):
Ce 0.043 0.657 0.315  0.74
Ce 0.987 0.111 0.222  0.39
Ce 0.522 0.136 0.759  0.31
Os 0.543 0.755 0.511  -0.06
Ce 0.478 0.864 0.241  0.31
Ir 0.500 0.000 0.000  -0.03
Ir 0.000 0.704 0.000  -0.04
Os 0.457 0.245 0.489  -0.06
Ce 0.013 0.889 0.778  0.39
Ce 0.522 0.623 0.759  0.31
Ce 0.957 0.343 0.685  0.74
Ce 0.478 0.377 0.241  0.31
Ir 0.000 0.296 0.000  -0.04

---

[17]
# GdLuHgRu

GdLuHgRu after structural relaxation (PBE, Alexandria).

- Magnetization: 1.7986 μB per atom
- Formation enthalpy at 0 K: -138 kJ/mol of formula units
- SG: F-43m (216)

abc: 5.005 5.005 5.005
angles: 60.00 60.00 60.00
Each line ends with the local moment (μB).
Positions (direct):
Ru 0.000 0.000 0.000  -0.09
Hg 0.500 0.500 0.500  0.02
Gd 0.750 0.750 0.750  7.04
Lu 0.250 0.250 0.250  0.04

---

[18]
# LaTlAgRu2

LaTlAgRu2 after structural relaxation (PBE, Alexandria).

- Magnetization: 0.2293 μB per atom
- Formation enthalpy at 0 K: 682 kJ/mol of formula units
- SG: P4/mmm (123)

abc: 4.824 6.059 4.824
angles: 90.00 90.00 90.00
Each line ends with the local moment (μB).
Positions (direct):
Ru 0.500 0.000 0.000  0.50
Ag 0.500 0.500 0.500  0.01
Ru 0.000 0.000 0.500  0.67
Tl 0.000 0.500 0.000  -0.01
La 0.000 0.000 0.000  -0.03

---

[19]
# Tb2TlPd

Tb2TlPd after structural relaxation (PBE, Alexandria).

- Magnetization: 0.0000 μB per atom
- Formation enthalpy at 0 K: -181 kJ/mol of formula units
- SG: R3m (160)

abc: 3.991 3.991 8.487
angles: 76.40 76.40 60.00
Positions (direct):
Tl 0.500 0.500 0.500
Tb 0.266 0.266 0.202
Pd 0.666 0.666 0.002
Tb 0.068 0.068 0.796

---

[20]
# DyThIr2

DyThIr2 after structural relaxation (PBE, Alexandria).

- Magnetization: 0.0000 μB per atom
- Formation enthalpy at 0 K: -308 kJ/mol of formula units
- SG: C2/m (12)
- Distance to the lowest polymorph of the same formula: 118 meV per atom

abc: 5.684 5.700 11.656
angles: 78.80 90.00 90.00
Positions (direct):
Th 0.750 0.965 0.108
Th 0.250 0.035 0.892
Dy 0.750 0.943 0.604
Ir 0.250 0.924 0.147
Dy 0.750 0.557 0.896
Ir 0.750 0.052 0.349
Th 0.750 0.535 0.392
Ir 0.750 0.448 0.151
Ir 0.250 0.576 0.353
Ir 0.250 0.552 0.849
Dy 0.250 0.443 0.104
Dy 0.250 0.057 0.396
Th 0.250 0.465 0.608
Ir 0.750 0.424 0.647
Ir 0.750 0.076 0.853
Ir 0.250 0.948 0.651

---

[21]
# SiPbCl2

SiPbCl2 after structural relaxation (PBE, Alexandria).

- Magnetization: 0.0000 μB per atom
- SG: I-42d (122)
- Distance to the lowest polymorph of the same formula: 284 meV per atom
- Formation energy (no corrections): -0.4 eV/f.u.

abc: 4.678 4.678 9.965
angles: 76.42 76.42 90.00
Positions (direct):
Pb 0.750 0.250 0.500
Cl 0.148 0.625 0.250
Si 0.500 0.500 0.000
Cl 0.602 0.125 0.250
Si 0.250 0.750 0.500
Cl 0.875 0.852 0.750
Cl 0.375 0.398 0.750
Pb 0.000 0.000 0.000

---

[22]
# As2OsSe

As2OsSe after structural relaxation (PBE, Alexandria).

- Magnetization: 0.0000 μB per atom
- SG: I4/mmm (139)
- Distance to the lowest polymorph of the same formula: 353 meV per atom
- Formation energy (no corrections): 1.8 eV/f.u.

abc: 4.536 4.536 4.538
angles: 70.04 70.04 108.51
Positions (direct):
Os 0.500 0.000 0.500
Se 0.000 0.500 0.500
As 0.500 0.500 0.000
As 0.000 0.000 0.000

---

[23]
# ICl2

ICl2 after structural relaxation (PBE, Alexandria).

- Magnetization: 0.0000 μB per atom
- SG: P4_2/mnm (136)
- Distance to the lowest polymorph of the same formula: 138 meV per atom
- Formation energy (no corrections): 0.1 eV/f.u.

abc: 8.385 8.385 4.366
angles: 90.00 90.00 90.00
Positions (direct):
Cl 0.864 0.136 0.500
I 0.000 0.000 0.000
Cl 0.364 0.364 0.000
Cl 0.136 0.864 0.500
Cl 0.636 0.636 0.000
I 0.500 0.500 0.500

---

[24]
# Ce2TcH

Ce2TcH after structural relaxation (PBE, Alexandria).

- Magnetization: 0.0000 μB per atom
- SG: P4/mmm (123)
- Distance to the lowest polymorph of the same formula: 0 meV per atom

abc: 3.242 3.242 6.629
angles: 90.00 90.00 90.00
Positions (direct):
Ce 0.000 0.000 0.725
Tc 0.500 0.500 0.000
Ce 0.000 0.000 0.275
H 0.500 0.500 0.500

---

[25]
# ScMo2Pb

ScMo2Pb after structural relaxation (PBE, Alexandria).

- Magnetization: 0.0000 μB per atom
- Formation enthalpy at 0 K: 70 kJ/mol of formula units
- SG: Imm2 (44)

abc: 5.466 5.466 4.719
angles: 64.38 64.38 37.69
Positions (direct):
Sc 0.263 0.263 0.237
Mo 0.726 0.726 0.774
Pb 0.489 0.489 0.511
Mo 0.022 0.022 0.977